# Zr2MnAl

A crystal of Zr2MnAl relaxed with PBEsol (SCAN, Alexandria).

## Properties
The calculation puts the formation energy at -0.3122 eV per atom. The total energy is -88.65 eV for the cell shown. Its calculated volume is 68.6 Å³/f.u.

Cell lengths 3.213, 3.213, 6.641 Å; angles 90.00, 90.00, 90.00 degrees
Fractional coordinates of all 4 atoms:
Zr 0.000 0.000 0.227
Zr 0.000 0.000 0.773
Mn 0.500 0.500 0.000
Al 0.500 0.500 0.500